A plane-wave DFT calculation with PBE-GGA was carried out for crystalline MnCoSe at its relaxed geometry.

```
MnCoSe
1.0
-0.253 -3.549 -1.564
3.044 0.928 2.232
-1.641 -1.064 2.680
Mn Co Se
1 1 1
direct
0.667 0.333 0.333
0.000 0.000 0.834
0.333 0.667 0.833
```

Summary:
crystal system: trigonal
offset from the most stable computed form: 97 meV per atom

---

A plane-wave DFT calculation with PBE-GGA was carried out for crystalline MnCo2Se at its relaxed geometry.

```
MnCo2Se
1.0
4.809 -0.009 -0.027
2.139 4.308 0.027
-3.159 -2.659 2.466
Se Mn Co
1 1 2
direct
0.243 0.743 0.500
0.496 0.496 0.000
0.009 0.009 0.000
0.752 0.252 0.500
```

Summary:
crystal system: orthorhombic
offset from the most stable computed form: 72 meV per atom

---

A plane-wave DFT calculation with PBE-GGA was carried out for crystalline Mn2CoSe at its relaxed geometry.

```
Mn2CoSe
1.0
-4.779 3.723 -2.474
-3.580 -5.357 -1.145
-5.153 -0.629 0.353
Mn Se Co
4 2 2
direct
0.125 0.625 0.250
0.625 0.125 0.250
0.875 0.875 0.750
0.375 0.375 0.750
0.000 0.000 0.000
0.750 0.250 0.500
0.500 0.500 0.000
0.250 0.750 0.500
```

Summary:
crystal system: tetragonal
offset from the most stable computed form: 494 meV per atom

---

A plane-wave DFT calculation with PBE-GGA was carried out for crystalline MnCo5Se8 at its relaxed geometry.

```
MnCo5Se8
1.0
-3.422 -5.603 2.643
2.145 -2.910 6.085
-3.943 0.691 5.837
Co Se Mn
5 8 1
direct
0.626 0.626 0.121
0.626 0.121 0.626
0.000 0.000 0.000
0.626 0.626 0.626
0.121 0.626 0.626
0.837 0.388 0.388
0.388 0.388 0.837
0.388 0.837 0.388
0.388 0.388 0.388
0.865 0.404 0.865
0.865 0.865 0.865
0.865 0.865 0.404
0.404 0.865 0.865
0.250 0.250 0.250
```

Summary:
crystal system: cubic
VASP energy: -76.68 eV per formula unit

---

A plane-wave DFT calculation with PBE-GGA was carried out for crystalline MnCo2Se at its relaxed geometry.

```
MnCo2Se
1.0
4.097 0.000 0.000
0.000 2.963 -0.007
0.000 0.215 4.424
Se Co Mn
1 2 1
direct
0.500 0.750 0.750
0.000 0.929 0.010
0.000 0.571 0.490
0.500 0.250 0.250
```

Summary:
crystal system: monoclinic
offset from the most stable computed form: 112 meV per atom

---

A plane-wave DFT calculation with PBE-GGA was carried out for crystalline Mn2CoSe at its relaxed geometry.

```
Mn2CoSe
1.0
-2.561 1.306 -2.562
-2.386 -1.303 1.721
-1.606 3.316 3.295
Mn Se Co
2 1 1
direct
0.000 0.973 0.929
0.500 0.283 0.308
0.000 0.702 0.470
0.500 0.542 0.793
```

Summary:
crystal system: orthorhombic
offset from the most stable computed form: 0 meV per atom

---

A plane-wave DFT calculation with PBE-GGA was carried out for crystalline MnCo2Se at its relaxed geometry.

```
MnCo2Se
1.0
-3.135 -1.252 -1.421
-0.211 -1.923 2.161
-2.634 2.325 3.764
Co Se Mn
2 1 1
direct
0.500 0.196 0.233
0.000 0.800 0.026
0.500 0.949 0.726
0.000 0.554 0.515
```

Summary:
crystal system: orthorhombic
offset from the most stable computed form: 70 meV per atom

---

A plane-wave DFT calculation with PBE-GGA was carried out for crystalline MnCo2Se at its relaxed geometry.

```
MnCo2Se
1.0
-2.640 6.095 3.789
-3.260 3.958 5.673
-0.595 5.137 5.632
Mn Co Se
1 2 1
direct
0.503 0.503 0.503
0.998 0.998 0.998
0.251 0.251 0.251
0.748 0.748 0.748
```

Summary:
crystal system: trigonal
offset from the most stable computed form: 210 meV per atom

---

A plane-wave DFT calculation with PBE-GGA was carried out for crystalline MnCo2Se at its relaxed geometry.

```
MnCo2Se
1.0
-2.656 2.139 2.325
-3.205 -1.913 1.761
-0.077 -0.559 4.088
Se Co Mn
1 2 1
direct
0.750 0.750 0.750
0.000 0.000 0.000
0.250 0.250 0.250
0.500 0.500 0.500
```

Summary:
crystal system: cubic
offset from the most stable computed form: 179 meV per atom

---

A plane-wave DFT calculation with PBE-GGA was carried out for crystalline MnCo2Se at its relaxed geometry.

```
MnCo2Se
1.0
4.640 -0.025 0.332
3.633 2.885 0.332
1.068 0.369 3.901
Se Co Mn
1 2 1
direct
0.745 0.745 0.802
0.009 0.009 0.950
0.249 0.249 0.287
0.498 0.498 0.461
```

Summary:
crystal system: monoclinic
offset from the most stable computed form: 64 meV per atom

---

A plane-wave DFT calculation with PBE-GGA was carried out for crystalline Mn2CoSe at its relaxed geometry.

```
Mn2CoSe
1.0
2.878 1.755 2.214
-0.923 3.085 2.428
0.051 -0.498 4.002
Mn Se Co
2 1 1
direct
0.750 0.750 0.750
0.250 0.250 0.250
0.500 0.500 0.500
0.000 0.000 0.000
```

Summary:
crystal system: cubic
offset from the most stable computed form: 227 meV per atom

---

A plane-wave DFT calculation with PBE-GGA was carried out for crystalline MnCoSe at its relaxed geometry.

```
MnCoSe
1.0
3.902 0.000 0.000
1.951 3.379 0.000
1.951 1.126 3.186
Se Co Mn
1 1 1
direct
0.000 0.000 0.000
0.500 0.500 0.500
0.750 0.750 0.750
```

Summary:
crystal system: cubic
offset from the most stable computed form: 234 meV per atom